Record 1
Entry from Alexandria via LeMat-Bulk: Dy4Sb2N after structural relaxation (GGA-PBE).

Properties
For the formation energy (no corrections), the calculation gives -1.02 eV per atom. As for the symmetry: No. 12.

a = 3.859 Å, b = 8.128 Å, c = 7.998 Å
α = 133.76°, β = 103.96°, γ = 90.00°
Sites, in units of the cell vectors:
Dy: 0.359 0.771 0.718
Dy: 0.942 0.209 0.885
Sb: 0.660 0.641 0.320
Sb: 0.340 0.359 0.680
Dy: 0.641 0.229 0.282
Dy: 0.058 0.791 0.115
N: 0.000 0.000 0.000


Record 2
Entry from Alexandria via LeMat-Bulk: Tb2Pr3Er3 after structural relaxation (GGA-PBE).

Properties
As for the symmetry: No. 71. As for the formation energy: 23 meV/atom.

a = 5.064 Å, b = 5.102 Å, c = 10.811 Å
α = 103.65°, β = 103.54°, γ = 90.00°
Sites, in units of the cell vectors:
Pr: 0.875 0.875 0.751
Er: 0.374 0.374 0.747
Pr: 0.125 0.125 0.249
Tb: 0.249 0.749 0.498
Pr: 0.000 0.500 0.000
Er: 0.500 0.000 0.000
Er: 0.626 0.626 0.253
Tb: 0.751 0.251 0.502


Record 3
Entry from Alexandria via LeMat-Bulk: Sr2Os after structural relaxation (GGA-PBE).

Properties
As for the symmetry: No. 58. As for the formation energy: 812 meV/atom.

a = 3.532 Å, b = 7.505 Å, c = 7.725 Å
α = 90.00°, β = 90.00°, γ = 90.00°
Last column: magnetic moment on the atom in μB.
Sites, in units of the cell vectors:
Os: 0.000 0.000 0.000  0.50
Sr: 0.500 0.268 0.180  0.00
Os: 0.500 0.500 0.500  0.50
Sr: 0.500 0.732 0.820  0.00
Sr: 0.000 0.232 0.680  0.00
Sr: 0.000 0.768 0.320  0.00